TaCrTc2H: relaxed, GGA-PBE.

Values from the calculation:
VASP energy ... -9.139 eV per atom
Magnetization ... 2.0 μB/cell
Space-group type ... P4/mmm, No. 123

a b c (Å): 4.289 4.289 3.384
angles (deg): 90.00 90.00 90.00
Fractional positions:
Ta1 0.000 0.000 0.000
Cr1 0.500 0.500 0.000
Tc1 0.000 0.500 0.500
Tc2 0.500 0.000 0.500
H1 0.500 0.500 0.500